No. 1
Material: CaCr3Br
Method: DFT, GGA-PBEsol
State: optimized geometry

Cell lengths 4.5719, 4.5719, 4.5719 Å; angles 90.00, 90.00, 90.00 degrees
Fractional positions:
Ca1 0.0000 0.0000 0.0000
Cr1 0.0000 0.5000 0.5000
Cr2 0.5000 0.0000 0.5000
Cr3 0.5000 0.5000 0.0000
Br1 0.5000 0.5000 0.5000

**Formation energy without anion corrections**: 1155 meV per atom
**Volume**: 19.11 A^3/atom
**Raw total energy**: -5.79 eV per atom
**DOS at the Fermi energy**: 1.2471 states/eV/atom
**Space-group type**: Pm-3m (221)

=====

No. 2
Material: CaCrBr2
Method: DFT, GGA-PBEsol
State: optimized geometry

Cell lengths 7.0568, 7.0568, 4.7936 Å; angles 107.01, 107.01, 29.93 degrees
Fractional positions:
Ca1 0.0000 0.0000 0.0000
Cr1 0.2931 0.2931 0.9919
Br1 0.4616 0.4616 0.4819
Br2 0.6797 0.6797 0.1818

**Formation energy without anion corrections**: -510 meV per atom
**Volume**: 28.38 A^3/atom
**Raw total energy**: -4.54 eV per atom
**DOS at the Fermi energy**: 0.3308 states/eV/atom
**Space-group type**: Cm (8)
**Offset from the most stable computed form**: 10 kJ/mol of formula units